Entry 1:
Material: Dy2ZnS
Method: DFT, PBE-GGA
State: optimized geometry

The structure in POSCAR format:
```
Dy2ZnS
1.0
1.877 1.083 7.678
-1.877 1.083 7.678
0.000 -2.167 7.678
Dy Zn S
2 1 1
direct
0.000 0.000 0.000
0.158 0.158 0.158
0.579 0.579 0.579
0.747 0.747 0.747
```

Output
The calculation puts the theoretical density at 7.49 Mg/m³. The distance to the lowest polymorph of the same formula is 169 meV/atom. The symmetry is R3m, No. 160.

***

Entry 2:
Material: Dy7ZnS5
Method: DFT, PBE-GGA
State: optimized geometry

The structure in POSCAR format:
```
Dy7ZnS5
1.0
3.903 0.000 0.000
1.941 6.435 0.000
0.001 0.026 23.440
Dy Zn S
14 2 10
direct
0.028 0.444 0.250
0.136 0.228 0.964
0.137 0.226 0.536
0.317 0.867 0.325
0.318 0.863 0.175
0.410 0.680 0.891
0.411 0.678 0.609
0.589 0.322 0.391
0.590 0.320 0.109
0.682 0.137 0.825
0.683 0.133 0.675
0.863 0.774 0.464
0.864 0.772 0.036
0.972 0.556 0.750
0.298 0.903 0.751
0.702 0.097 0.249
0.047 0.406 0.641
0.047 0.406 0.859
0.226 0.048 0.430
0.226 0.049 0.070
0.500 0.500 0.000
0.500 0.500 0.500
0.774 0.951 0.930
0.774 0.952 0.570
0.953 0.594 0.141
0.953 0.594 0.359
```

Output
The calculation puts the theoretical density at 7.69 Mg/m³. The value obtained for the total energy is -5.7667 eV/atom. The symmetry is P-1, No. 2.

***

Entry 3:
Material: DyZnS
Method: DFT, PBE-GGA
State: optimized geometry

The structure in POSCAR format:
```
DyZnS
1.0
2.256 1.303 7.415
-2.256 1.303 7.415
0.000 -2.605 7.415
Dy Zn S
2 2 2
direct
0.084 0.084 0.084
0.916 0.916 0.916
0.330 0.330 0.330
0.670 0.670 0.670
0.215 0.215 0.215
0.785 0.785 0.785
```

Output
The calculation puts the theoretical density at 6.60 Mg/m³. The value obtained for the total energy is -4.5302 eV/atom. The symmetry is R-3m, No. 166.

***

Entry 4:
Material: Dy6ZnS5
Method: DFT, PBE-GGA
State: optimized geometry

The structure in POSCAR format:
```
Dy6ZnS5
1.0
3.423 -5.919 0.000
3.423 5.919 0.000
-2.272 0.000 6.429
Dy Zn S
6 1 5
direct
0.081 0.417 0.749
0.248 0.248 0.251
0.417 0.081 0.749
0.583 0.919 0.251
0.752 0.752 0.749
0.919 0.583 0.251
0.500 0.500 0.000
0.000 0.000 0.500
0.166 0.834 0.000
0.332 0.668 0.500
0.668 0.332 0.500
0.834 0.166 0.000
```

Output
The calculation puts the theoretical density at 7.65 Mg/m³. The value obtained for the total energy is -5.8385 eV/atom. The symmetry is C2/m, No. 12.

***

Entry 5:
Material: Dy2ZnS4
Method: DFT, PBE-GGA
State: optimized geometry

The structure in POSCAR format:
```
Dy2ZnS4
1.0
0.000 5.513 5.513
5.513 0.000 5.513
5.513 5.513 0.000
Dy Zn S
4 2 8
direct
0.000 0.000 0.000
0.000 0.000 0.500
0.000 0.500 0.000
0.500 0.000 0.000
0.375 0.375 0.375
0.625 0.625 0.625
0.245 0.752 0.752
0.248 0.248 0.248
0.248 0.248 0.755
0.248 0.755 0.248
0.752 0.245 0.752
0.752 0.752 0.245
0.752 0.752 0.752
0.755 0.248 0.248
```

Output
The calculation puts the theoretical density at 5.14 Mg/m³. The distance to the lowest polymorph of the same formula is 35 meV/atom. The symmetry is Fd-3m, No. 227.

***

Entry 6:
Material: Dy6ZnS4
Method: DFT, PBE-GGA
State: optimized geometry

The structure in POSCAR format:
```
Dy6ZnS4
1.0
1.953 -6.464 0.000
1.953 6.464 0.000
0.000 0.000 19.997
Dy Zn S
12 2 8
direct
0.000 0.000 0.000
0.000 0.000 0.500
0.169 0.831 0.750
0.272 0.728 0.085
0.272 0.728 0.415
0.456 0.544 0.662
0.456 0.544 0.838
0.544 0.456 0.162
0.544 0.456 0.338
0.728 0.272 0.585
0.728 0.272 0.915
0.831 0.169 0.250
0.159 0.841 0.250
0.841 0.159 0.750
0.092 0.908 0.623
0.092 0.908 0.877
0.362 0.638 0.540
0.362 0.638 0.960
0.638 0.362 0.040
0.638 0.362 0.460
0.908 0.092 0.123
0.908 0.092 0.377
```

Output
The calculation puts the theoretical density at 7.69 Mg/m³. The value obtained for the total energy is -5.6593 eV/atom. The symmetry is Cmcm, No. 63.